Here is UZnNi14 after structural relaxation from the Alexandria database. Energies are from PBE.

SG   P4/mmm

Cell lengths 5.117, 5.117, 7.153 Å; angles 90.00, 90.00, 90.00 degrees
Last column: magnetic moment on the atom in μB.
Fractional coordinates of all 16 atoms:
Ni1 0.375 0.875 0.000  0.51
Ni2 0.123 0.627 0.760  0.31
Ni3 0.875 0.375 0.500  0.09
Ni4 0.375 0.875 0.500  0.09
Ni5 0.123 0.627 0.240  0.31
Ni6 0.875 0.375 0.000  0.51
Ni7 0.123 0.123 0.240  0.31
Ni8 0.875 0.875 0.000  0.55
Ni9 0.375 0.375 0.000  0.72
Ni10 0.627 0.123 0.760  0.31
Ni11 0.627 0.123 0.240  0.31
Ni12 0.123 0.123 0.760  0.31
Ni13 0.627 0.627 0.240  0.31
Ni14 0.627 0.627 0.760  0.31
Zn1 0.875 0.875 0.500  -0.01
U1 0.375 0.375 0.500  -0.37

=====

Here is U2Zn15Ni2 after structural relaxation from the Alexandria database. Energies are from PBE.

SG   R-3m

Cell lengths 6.725, 6.725, 6.725 Å; angles 83.09, 83.09, 83.09 degrees
Last column: magnetic moment on the atom in μB.
Fractional coordinates of all 19 atoms:
Zn1 0.352 0.352 0.846  0.00
Zn2 0.352 0.846 0.352  0.00
Zn3 0.000 0.286 0.714  0.01
Zn4 0.000 0.714 0.286  0.01
Zn5 0.648 0.648 0.154  0.00
Zn6 0.286 0.714 0.000  0.01
Zn7 0.000 0.500 0.000  0.00
Zn8 0.714 0.286 0.000  0.01
Zn9 0.846 0.352 0.352  0.00
Zn10 0.154 0.648 0.648  0.00
Zn11 0.714 0.000 0.286  0.01
Zn12 0.648 0.154 0.648  0.00
Zn13 0.286 0.000 0.714  0.01
Zn14 0.000 0.000 0.500  0.00
Zn15 0.500 0.000 0.000  0.00
U1 0.665 0.665 0.665  2.31
U2 0.335 0.335 0.335  2.31
Ni1 0.121 0.121 0.121  -0.11
Ni2 0.879 0.879 0.879  -0.11

=====

Here is UZn2Ni9 after structural relaxation from the Alexandria database. Energies are from PBE.

SG   R-3m

Cell lengths 4.769, 4.769, 8.242 Å; angles 73.18, 73.18, 60.00 degrees
Last column: magnetic moment on the atom in μB.
Fractional coordinates of all 12 atoms:
Ni1 0.334 0.334 0.998  0.22
Ni2 0.588 0.082 0.743  0.24
Ni3 0.412 0.412 0.257  0.24
Ni4 0.082 0.588 0.743  0.24
Ni5 0.588 0.588 0.743  0.24
Ni6 0.666 0.666 0.002  0.22
Ni7 0.412 0.918 0.257  0.24
Ni8 0.918 0.412 0.257  0.24
Ni9 0.500 0.500 0.500  0.21
U1 0.000 0.000 0.000  -1.13
Zn1 0.145 0.145 0.564  -0.01
Zn2 0.855 0.855 0.436  -0.01

=====

Here is UZn2Ni6 after structural relaxation from the Alexandria database. Energies are from PBE.

SG   Immm

Cell lengths 2.655, 7.348, 7.348 Å; angles 57.33, 79.59, 79.59 degrees
Last column: magnetic moment on the atom in μB.
Fractional coordinates of all 9 atoms:
Ni1 0.175 0.145 0.504  0.01
Ni2 0.175 0.504 0.145  0.01
Ni3 0.000 0.167 0.833  -0.01
Ni4 0.000 0.833 0.167  -0.01
Ni5 0.825 0.855 0.496  0.01
Ni6 0.825 0.496 0.855  0.01
U1 0.500 0.500 0.500  1.62
Zn1 0.651 0.849 0.849  0.01
Zn2 0.349 0.151 0.151  0.01

=====

Here is UZn11Ni after structural relaxation from the Alexandria database. Energies are from PBE.

SG   C2/m

Cell lengths 5.003, 6.776, 6.848 Å; angles 82.26, 68.57, 68.36 degrees
Last column: magnetic moment on the atom in μB.
Fractional coordinates of all 13 atoms:
Zn1 0.000 0.500 0.000  0.00
Zn2 0.500 0.000 0.500  0.01
Zn3 0.290 0.219 0.212  0.01
Zn4 0.365 0.641 0.656  0.01
Zn5 0.710 0.781 0.788  0.01
Zn6 0.000 0.000 0.500  0.01
Zn7 0.022 0.641 0.344  0.01
Zn8 0.978 0.359 0.656  0.01
Zn9 0.499 0.781 0.212  0.01
Zn10 0.501 0.219 0.788  0.01
Zn11 0.635 0.359 0.344  0.01
Ni1 0.500 0.500 0.000  0.00
U1 0.000 0.000 0.000  2.46

=====

Here is U2Zn16Ni after structural relaxation from the Alexandria database. Energies are from PBE.

SG   R3m

Cell lengths 6.757, 6.757, 6.757 Å; angles 82.90, 82.90, 82.90 degrees
Last column: magnetic moment on the atom in μB.
Fractional coordinates of all 19 atoms:
Zn1 0.650 0.154 0.650  0.00
Zn2 0.000 0.709 0.290  0.00
Zn3 0.290 0.000 0.709  0.00
Zn4 0.290 0.709 0.000  0.00
Zn5 0.840 0.356 0.356  0.00
Zn6 0.356 0.356 0.840  0.00
Zn7 0.098 0.098 0.098  0.01
Zn8 0.154 0.650 0.650  0.00
Zn9 0.000 0.290 0.709  0.00
Zn10 0.997 0.507 0.997  0.00
Zn11 0.507 0.997 0.997  0.00
Zn12 0.709 0.290 0.000  0.00
Zn13 0.709 0.000 0.290  0.00
Zn14 0.356 0.840 0.356  0.00
Zn15 0.997 0.997 0.507  0.00
Zn16 0.650 0.650 0.154  0.00
U1 0.668 0.668 0.668  2.35
U2 0.341 0.341 0.341  2.46
Ni1 0.889 0.889 0.889  -0.11

=====

Here is Zr2UNi after structural relaxation from the Alexandria database. Energies are from PBE.

SG   P4/mmm
Energy above the most stable polymorph in this dataset   144.8 meV per atom

Cell lengths 3.043, 5.018, 5.018 Å; angles 90.00, 90.00, 90.00 degrees
Last column: magnetic moment on the atom in μB.
Fractional coordinates of all 4 atoms:
Ni1 0.500 0.000 0.000  0.01
Zr1 0.000 0.000 0.500  0.00
Zr2 0.000 0.500 0.000  0.00
U1 0.500 0.500 0.500  0.18

=====

Here is Zr2UNi after structural relaxation from the Alexandria database. Energies are from PBE.

SG   P4/mmm
Energy above the most stable polymorph in this dataset   0.0 meV per atom

Cell lengths 3.076, 3.076, 8.272 Å; angles 90.00, 90.00, 90.00 degrees
Fractional coordinates of all 4 atoms:
Zr1 0.000 0.000 0.792
Zr2 0.000 0.000 0.208
U1 0.500 0.500 0.500
Ni1 0.500 0.500 0.000

=====

Here is Zr2U2Ni15 after structural relaxation from the Alexandria database. Energies are from PBE.

SG   R-3m

Cell lengths 6.391, 6.391, 6.391 Å; angles 81.26, 81.26, 81.26 degrees
Last column: magnetic moment on the atom in μB.
Fractional coordinates of all 19 atoms:
Zr1 0.364 0.364 0.364  0.01
Zr2 0.636 0.636 0.636  0.01
Ni1 0.326 0.000 0.674  0.08
Ni2 0.000 0.500 0.000  0.00
Ni3 0.657 0.170 0.657  0.03
Ni4 0.170 0.657 0.657  0.03
Ni5 0.343 0.830 0.343  0.03
Ni6 0.657 0.657 0.170  0.03
Ni7 0.674 0.326 0.000  0.08
Ni8 0.000 0.000 0.500  0.00
Ni9 0.343 0.343 0.830  0.03
Ni10 0.000 0.326 0.674  0.08
Ni11 0.326 0.674 0.000  0.08
Ni12 0.500 0.000 0.000  0.00
Ni13 0.830 0.343 0.343  0.03
Ni14 0.674 0.000 0.326  0.08
Ni15 0.000 0.674 0.326  0.08
U1 0.098 0.098 0.098  0.84
U2 0.902 0.902 0.902  0.84

=====

Here is Zr2UNi9 after structural relaxation from the Alexandria database. Energies are from PBE.

SG   P6_3/mmc
Energy above the most stable polymorph in this dataset   4.8 meV per atom

Cell lengths 4.860, 4.860, 16.016 Å; angles 90.00, 90.00, 120.00 degrees
Last column: magnetic moment on the atom in μB.
Fractional coordinates of all 24 atoms:
Ni1 0.664 0.832 0.377  0.06
Ni2 0.333 0.667 0.250  0.17
Ni3 0.168 0.336 0.377  0.06
Ni4 0.832 0.664 0.623  0.06
Ni5 0.664 0.832 0.123  0.06
Ni6 0.832 0.168 0.877  0.06
Ni7 0.000 0.000 0.750  0.16
Ni8 0.168 0.832 0.377  0.06
Ni9 0.832 0.168 0.623  0.06
Ni10 0.000 0.000 0.250  0.16
Ni11 0.336 0.168 0.623  0.06
Ni12 0.168 0.832 0.123  0.06
Ni13 0.000 0.000 0.500  0.05
Ni14 0.832 0.664 0.877  0.06
Ni15 0.168 0.336 0.123  0.06
Ni16 0.000 0.000 0.000  0.05
Ni17 0.336 0.168 0.877  0.06
Ni18 0.667 0.333 0.750  0.17
U1 0.333 0.667 0.750  -1.42
U2 0.667 0.333 0.250  -1.42
Zr1 0.667 0.333 0.041  -0.02
Zr2 0.333 0.667 0.541  -0.02
Zr3 0.667 0.333 0.459  -0.02
Zr4 0.333 0.667 0.959  -0.02

=====

Here is ZrUNi10 after structural relaxation from the Alexandria database. Energies are from PBE.

SG   Pmmm

Cell lengths 3.972, 4.776, 8.268 Å; angles 90.00, 90.00, 90.00 degrees
Last column: magnetic moment on the atom in μB.
Fractional coordinates of all 12 atoms:
Ni1 0.500 0.250 0.748  0.24
Ni2 0.500 0.750 0.748  0.24
Ni3 0.000 0.500 0.832  0.20
Ni4 0.500 0.000 0.500  0.26
Ni5 0.500 0.500 0.000  0.26
Ni6 0.500 0.750 0.252  0.24
Ni7 0.000 0.000 0.668  0.17
Ni8 0.000 0.000 0.332  0.17
Ni9 0.500 0.250 0.252  0.24
Ni10 0.000 0.500 0.168  0.20
Zr1 0.000 0.500 0.500  -0.07
U1 0.000 0.000 0.000  -1.26

=====

Here is ZrUNi after structural relaxation from the Alexandria database. Energies are from PBE.

SG   Fmmm

Cell lengths 5.047, 5.321, 5.408 Å; angles 77.21, 62.18, 61.69 degrees
Last column: magnetic moment on the atom in μB.
Fractional coordinates of all 6 atoms:
Zr1 0.657 0.000 0.686  -0.12
Zr2 0.343 0.000 0.314  -0.12
Ni1 0.750 0.500 0.500  -0.05
Ni2 0.250 0.500 0.500  -0.05
U1 0.173 0.653 0.000  1.48
U2 0.827 0.347 0.000  1.48

=====

Here is Zr2UNi9 after structural relaxation from the Alexandria database. Energies are from PBE.

SG   R-3m
Energy above the most stable polymorph in this dataset   0.0 meV per atom

Cell lengths 4.867, 4.867, 8.472 Å; angles 73.31, 73.31, 60.00 degrees
Last column: magnetic moment on the atom in μB.
Fractional coordinates of all 12 atoms:
Ni1 0.666 0.666 0.001  0.15
Ni2 0.414 0.414 0.253  0.05
Ni3 0.500 0.500 0.500  0.01
Ni4 0.334 0.334 0.999  0.15
Ni5 0.919 0.414 0.253  0.05
Ni6 0.081 0.586 0.747  0.05
Ni7 0.414 0.919 0.253  0.05
Ni8 0.586 0.081 0.747  0.05
Ni9 0.586 0.586 0.747  0.05
Zr1 0.861 0.861 0.417  -0.05
Zr2 0.139 0.139 0.583  -0.05
U1 0.000 0.000 0.000  -1.55

=====

Here is V2Ni3 after structural relaxation from the Alexandria database. Energies are from PBE.

SG   Ibam
Energy above the most stable polymorph in this dataset   158.6 meV per atom

Cell lengths 4.521, 4.884, 6.476 Å; angles 112.15, 110.43, 90.00 degrees
Fractional coordinates of all 10 atoms:
Ni1 0.750 0.000 0.000
Ni2 0.900 0.269 0.800
Ni3 0.600 0.469 0.200
Ni4 0.400 0.531 0.800
Ni5 0.250 0.000 0.000
Ni6 0.100 0.731 0.200
V1 0.820 0.647 0.640
V2 0.680 0.007 0.360
V3 0.320 0.993 0.640
V4 0.180 0.353 0.360

=====

Here is VNi after structural relaxation from the Alexandria database. Energies are from PBE.

SG   Pmmn

Cell lengths 2.987, 5.484, 2.961 Å; angles 90.00, 90.00, 90.00 degrees
Fractional coordinates of all 4 atoms:
V1 0.000 0.643 0.500
V2 0.500 0.357 0.000
Ni1 0.000 0.128 0.500
Ni2 0.500 0.872 0.000

=====

Here is V3Ni after structural relaxation from the Alexandria database. Energies are from PBE.

SG   Pm-3n

Cell lengths 4.671, 4.671, 4.671 Å; angles 90.00, 90.00, 90.00 degrees
Fractional coordinates of all 8 atoms:
Ni1 0.000 0.000 0.000
Ni2 0.500 0.500 0.500
V1 0.500 0.250 0.000
V2 0.000 0.500 0.250
V3 0.750 0.000 0.500
V4 0.500 0.750 0.000
V5 0.000 0.500 0.750
V6 0.250 0.000 0.500

=====

Here is VNi after structural relaxation from the Alexandria database. Energies are from PBE.

SG   Fm-3m

Cell lengths 4.774, 4.774, 4.774 Å; angles 90.00, 90.00, 90.00 degrees
Last column: magnetic moment on the atom in μB.
Fractional coordinates of all 8 atoms:
V1 0.000 0.000 0.000  0.10
V2 0.500 0.500 0.000  0.10
V3 0.000 0.500 0.500  0.10
V4 0.500 0.000 0.500  0.10
Ni1 0.500 0.500 0.500  0.02
Ni2 0.500 0.000 0.000  0.02
Ni3 0.000 0.500 0.000  0.02
Ni4 0.000 0.000 0.500  0.02

=====

Here is V8Ni after structural relaxation from the Alexandria database. Energies are from PBE.

SG   I4/mmm

Cell lengths 3.040, 6.412, 6.412 Å; angles 86.78, 76.29, 76.29 degrees
Fractional coordinates of all 9 atoms:
V1 0.000 0.669 0.331
V2 0.669 0.331 0.331
V3 0.667 0.000 0.666
V4 0.333 0.334 0.000
V5 0.331 0.669 0.669
V6 0.333 0.000 0.334
V7 0.000 0.331 0.669
V8 0.667 0.666 0.000
Ni1 0.000 0.000 0.000

=====

Here is V13Ni2 after structural relaxation from the Alexandria database. Energies are from PBE.

SG   R-3m

Cell lengths 6.628, 6.628, 7.210 Å; angles 62.64, 62.64, 60.00 degrees
Fractional coordinates of all 15 atoms:
V1 0.609 0.001 0.781
V2 0.132 0.746 0.376
V3 0.001 0.609 0.781
V4 0.746 0.746 0.376
V5 0.500 0.500 0.500
V6 0.391 0.391 0.219
V7 0.999 0.391 0.219
V8 0.254 0.868 0.624
V9 0.609 0.609 0.781
V10 0.254 0.254 0.624
V11 0.868 0.254 0.624
V12 0.746 0.132 0.376
V13 0.391 0.999 0.219
Ni1 0.631 0.631 0.108
Ni2 0.369 0.369 0.892

=====

Here is VNi6 after structural relaxation from the Alexandria database. Energies are from PBE.

SG   R-3m

Cell lengths 3.984, 3.984, 6.123 Å; angles 71.01, 71.01, 60.00 degrees
Fractional coordinates of all 7 atoms:
Ni1 0.142 0.142 0.574
Ni2 0.712 0.712 0.863
Ni3 0.431 0.431 0.708
Ni4 0.569 0.569 0.292
Ni5 0.288 0.288 0.137
Ni6 0.858 0.858 0.426
V1 0.000 0.000 0.000

=====

Respective DFT formation energy values: -0.091, -0.049, -0.150, -0.009, -0.068, -0.054, 0.120, -0.025, -0.232, -0.350, -0.253, -0.129, -0.355, 0.045, -0.164, -0.150, 0.533, -0.069, 0.568, -0.049 eV/atom.
Respective uncorrected energy values: -5.935, -2.852, -5.639, -5.401, -2.459, -2.619, -8.421, -8.566, -6.884, -7.051, -6.724, -8.668, -7.056, -7.071, -7.614, -8.435, -6.917, -8.817, -8.106, -6.307 eV per atom.